# 1
A relaxed Rb2SnPI6 crystal, computed with GGA-PBE.

Computed properties:
* theoretical density: 4.226 g/cm³
* D(E_F): 9.1 states/eV per cell

Structure (CIF):
```
data_Rb2SnPI6
_symmetry_space_group_name_H-M 'I 4/m m m'
_symmetry_Int_Tables_number 139
_symmetry_space_group_name_Hall '-I 4 2'
_cell_length_a 8.453
_cell_length_b 8.453
_cell_length_c 11.902
_cell_angle_alpha 90.00
_cell_angle_beta 90.00
_cell_angle_gamma 90.00
loop_
_atom_site_label
_atom_site_fract_x
_atom_site_fract_y
_atom_site_fract_z
_atom_site_occupancy
Rb1 0.000 0.500 0.250 1
Sn1 0.000 0.000 0.000 1
P1 0.000 0.000 0.500 1
I1 0.000 0.000 0.261 1
I2 0.241 0.241 0.500 1
```

---

# 2
A relaxed RbTe2PI crystal, computed with GGA-PBE.

Computed properties:
* theoretical density: 2.202 g/cm³
* D(E_F): 9.8 states/eV per cell

Structure (CIF):
```
data_RbTe2PI
_symmetry_space_group_name_H-M 'P 4/m m m'
_symmetry_Int_Tables_number 123
_symmetry_space_group_name_Hall '-P 4 2'
_cell_length_a 7.348
_cell_length_b 7.348
_cell_length_c 6.965
_cell_angle_alpha 90.00
_cell_angle_beta 90.00
_cell_angle_gamma 90.00
loop_
_atom_site_label
_atom_site_fract_x
_atom_site_fract_y
_atom_site_fract_z
_atom_site_occupancy
Rb1 0.000 0.000 0.000 1
Te1 0.000 0.500 0.000 1
P1 0.500 0.500 0.500 1
I1 0.000 0.000 0.500 1
```

---

# 3
A relaxed RbTe2PI crystal, computed with GGA-PBE.

Computed properties:
* theoretical density: 4.691 g/cm³
* D(E_F): 4.0 states/eV per cell

Structure (CIF):
```
data_RbTe2PI
_symmetry_space_group_name_H-M 'P 4/m m m'
_symmetry_Int_Tables_number 123
_symmetry_space_group_name_Hall '-P 4 2'
_cell_length_a 5.361
_cell_length_b 5.361
_cell_length_c 6.142
_cell_angle_alpha 90.00
_cell_angle_beta 90.00
_cell_angle_gamma 90.00
loop_
_atom_site_label
_atom_site_fract_x
_atom_site_fract_y
_atom_site_fract_z
_atom_site_occupancy
Rb1 0.000 0.000 0.000 1
Te1 0.000 0.500 0.500 1
P1 0.500 0.500 0.500 1
I1 0.500 0.500 0.000 1
```

---

# 4
A relaxed RbTePI2 crystal, computed with GGA-PBE.

Computed properties:
* theoretical density: 4.577 g/cm³
* D(E_F): 2.7 states/eV per cell

Structure (CIF):
```
data_RbTePI2
_symmetry_space_group_name_H-M 'P 4/m m m'
_symmetry_Int_Tables_number 123
_symmetry_space_group_name_Hall '-P 4 2'
_cell_length_a 5.788
_cell_length_b 5.788
_cell_length_c 5.391
_cell_angle_alpha 90.00
_cell_angle_beta 90.00
_cell_angle_gamma 90.00
loop_
_atom_site_label
_atom_site_fract_x
_atom_site_fract_y
_atom_site_fract_z
_atom_site_occupancy
Rb1 0.000 0.000 0.000 1
Te1 0.500 0.500 0.000 1
P1 0.500 0.500 0.500 1
I1 0.000 0.500 0.500 1
```

---

# 5
A relaxed RbTePI2 crystal, computed with GGA-PBE.

Computed properties:
* theoretical density: 2.236 g/cm³
* D(E_F): 12.2 states/eV per cell

Structure (CIF):
```
data_RbTePI2
_symmetry_space_group_name_H-M 'P 4/m m m'
_symmetry_Int_Tables_number 123
_symmetry_space_group_name_Hall '-P 4 2'
_cell_length_a 7.081
_cell_length_b 7.081
_cell_length_c 7.373
_cell_angle_alpha 90.00
_cell_angle_beta 90.00
_cell_angle_gamma 90.00
loop_
_atom_site_label
_atom_site_fract_x
_atom_site_fract_y
_atom_site_fract_z
_atom_site_occupancy
Rb1 0.000 0.000 0.000 1
Te1 0.000 0.000 0.500 1
P1 0.500 0.500 0.500 1
I1 0.000 0.500 0.000 1
```

---

# 6
A relaxed Rb2TePI6 crystal, computed with GGA-PBE.

Computed properties:
* theoretical density: 4.279 g/cm³
* D(E_F): 7.4 states/eV per cell

Structure (CIF):
```
data_Rb2TePI6
_symmetry_space_group_name_H-M 'I 4/m m m'
_symmetry_Int_Tables_number 139
_symmetry_space_group_name_Hall '-I 4 2'
_cell_length_a 8.442
_cell_length_b 8.442
_cell_length_c 11.879
_cell_angle_alpha 90.00
_cell_angle_beta 90.00
_cell_angle_gamma 90.00
loop_
_atom_site_label
_atom_site_fract_x
_atom_site_fract_y
_atom_site_fract_z
_atom_site_occupancy
Rb1 0.000 0.500 0.250 1
Te1 0.000 0.000 0.000 1
P1 0.000 0.000 0.500 1
I1 0.000 0.000 0.262 1
I2 0.237 0.237 0.500 1
```

---

# 7
A relaxed Rb2TiPI6 crystal, computed with GGA-PBE.

Computed properties:
* theoretical density: 3.934 g/cm³
* D(E_F): 17.7 states/eV per cell

Structure (CIF):
```
data_Rb2TiPI6
_symmetry_space_group_name_H-M 'I 4/m m m'
_symmetry_Int_Tables_number 139
_symmetry_space_group_name_Hall '-I 4 2'
_cell_length_a 8.698
_cell_length_b 8.698
_cell_length_c 11.283
_cell_angle_alpha 90.00
_cell_angle_beta 90.00
_cell_angle_gamma 90.00
loop_
_atom_site_label
_atom_site_fract_x
_atom_site_fract_y
_atom_site_fract_z
_atom_site_occupancy
Rb1 0.000 0.500 0.250 1
Ti1 0.000 0.000 0.000 1
P1 0.000 0.000 0.500 1
I1 0.000 0.000 0.257 1
I2 0.228 0.228 0.000 1
```

---

# 8
A relaxed RbTl2PI6 crystal, computed with GGA-PBE.

Computed properties:
* theoretical density: 4.598 g/cm³
* D(E_F): 0.0 states/eV per cell

Structure (CIF):
```
data_RbTl2PI6
_symmetry_space_group_name_H-M 'R 3'
_symmetry_Int_Tables_number 146
_symmetry_space_group_name_Hall 'R 3'
_cell_length_a 8.5808
_cell_length_b 8.5808
_cell_length_c 21.8611
_cell_angle_alpha 90.00
_cell_angle_beta 90.00
_cell_angle_gamma 120.00
loop_
_atom_site_label
_atom_site_fract_x
_atom_site_fract_y
_atom_site_fract_z
_atom_site_occupancy
Rb1 0.0000 0.0000 0.0000 1
Tl1 0.0000 0.0000 0.2902 1
Tl2 0.0000 0.0000 0.8055 1
P1 0.0000 0.0000 0.4896 1
I1 0.0191 0.2789 0.5624 1
I2 0.0701 0.6703 0.0787 1
```

---

# 9
A relaxed Rb2TlPI6 crystal, computed with GGA-PBE.

Computed properties:
* theoretical density: 4.345 g/cm³

Structure (CIF):
```
data_Rb2TlPI6
_symmetry_space_group_name_H-M 'R 3'
_symmetry_Int_Tables_number 146
_symmetry_space_group_name_Hall 'R 3'
_cell_length_a 8.7478
_cell_length_b 8.7478
_cell_length_c 20.2010
_cell_angle_alpha 90.00
_cell_angle_beta 90.00
_cell_angle_gamma 120.00
loop_
_atom_site_label
_atom_site_fract_x
_atom_site_fract_y
_atom_site_fract_z
_atom_site_occupancy
Rb1 0.0000 0.0000 0.0000 1
Rb2 0.0000 0.0000 0.4811 1
Tl1 0.0000 0.0000 0.7411 1
P1 0.0000 0.0000 0.2408 1
I1 0.0400 0.5908 0.9874 1
I2 0.1159 0.3736 0.8274 1
```

---

# 10
A relaxed Rb2VPI6 crystal, computed with GGA-PBE.

Computed properties:
* theoretical density: 4.203 g/cm³
* D(E_F): 21.8 states/eV per cell

Structure (CIF):
```
data_Rb2VPI6
_symmetry_space_group_name_H-M 'I 4/m m m'
_symmetry_Int_Tables_number 139
_symmetry_space_group_name_Hall '-I 4 2'
_cell_length_a 8.043
_cell_length_b 8.043
_cell_length_c 12.387
_cell_angle_alpha 90.00
_cell_angle_beta 90.00
_cell_angle_gamma 90.00
loop_
_atom_site_label
_atom_site_fract_x
_atom_site_fract_y
_atom_site_fract_z
_atom_site_occupancy
Rb1 0.000 0.500 0.250 1
V1 0.000 0.000 0.000 1
P1 0.000 0.000 0.500 1
I1 0.000 0.000 0.224 1
I2 0.247 0.247 0.500 1
```

---

# 11
A relaxed RbVPI2 crystal, computed with GGA-PBE.

Computed properties:
* theoretical density: 2.534 g/cm³
* D(E_F): 13.7 states/eV per cell

Structure (CIF):
```
data_RbVPI2
_symmetry_space_group_name_H-M 'P 4/m m m'
_symmetry_Int_Tables_number 123
_symmetry_space_group_name_Hall '-P 4 2'
_cell_length_a 6.732
_cell_length_b 6.732
_cell_length_c 6.090
_cell_angle_alpha 90.00
_cell_angle_beta 90.00
_cell_angle_gamma 90.00
loop_
_atom_site_label
_atom_site_fract_x
_atom_site_fract_y
_atom_site_fract_z
_atom_site_occupancy
Rb1 0.000 0.000 0.000 1
V1 0.500 0.500 0.500 1
P1 0.000 0.000 0.500 1
I1 0.000 0.500 0.000 1
```

---

# 12
A relaxed Rb2PWI6 crystal, computed with GGA-PBE.

Computed properties:
* theoretical density: 4.713 g/cm³
* D(E_F): 15.4 states/eV per cell

Structure (CIF):
```
data_Rb2PWI6
_symmetry_space_group_name_H-M 'I 4/m m m'
_symmetry_Int_Tables_number 139
_symmetry_space_group_name_Hall '-I 4 2'
_cell_length_a 8.529
_cell_length_b 8.529
_cell_length_c 11.112
_cell_angle_alpha 90.00
_cell_angle_beta 90.00
_cell_angle_gamma 90.00
loop_
_atom_site_label
_atom_site_fract_x
_atom_site_fract_y
_atom_site_fract_z
_atom_site_occupancy
Rb1 0.000 0.500 0.250 1
P1 0.000 0.000 0.000 1
W1 0.000 0.000 0.500 1
I1 0.000 0.000 0.246 1
I2 0.234 0.234 0.500 1
```

---

# 13
A relaxed Rb2ZnPI crystal, computed with GGA-PBE.

Computed properties:
* theoretical density: 3.250 g/cm³
* D(E_F): 0.1 states/eV per cell

Structure (CIF):
```
data_Rb2ZnPI
_symmetry_space_group_name_H-M 'P 4/m m m'
_symmetry_Int_Tables_number 123
_symmetry_space_group_name_Hall '-P 4 2'
_cell_length_a 6.803
_cell_length_b 6.803
_cell_length_c 4.352
_cell_angle_alpha 90.00
_cell_angle_beta 90.00
_cell_angle_gamma 90.00
loop_
_atom_site_label
_atom_site_fract_x
_atom_site_fract_y
_atom_site_fract_z
_atom_site_occupancy
Rb1 0.000 0.500 0.000 1
Zn1 0.000 0.000 0.500 1
P1 0.000 0.000 0.000 1
I1 0.500 0.500 0.500 1
```

---

no.,E_form (uncorrected) (eV/atom)
1,-0.6473
2,1.0748
3,-0.1669
4,-0.3072
5,0.7920
6,-0.5565
7,-0.6327
8,-0.5132
9,-0.7096
10,-0.5441
11,1.3982
12,-0.2713
13,-0.6366